This record from the Alexandria database describes an optimized crystal structure of LiSc2Fe. The functional is PBE-GGA.

Geometry as CIF:
```
data_LiSc2Fe
_chemical_formula_sum 'Li1 Sc2 Fe1'
_space_group_name_H-M_alt 'P 1'
_space_group_IT_number 1
_cell_length_a 3.6270
_cell_length_b 3.6270
_cell_length_c 8.1092
_cell_angle_alpha 84.78
_cell_angle_beta 84.78
_cell_angle_gamma 50.97
loop_
_space_group_symop_operation_xyz
'x,y,z'
loop_
_atom_site_label
_atom_site_type_symbol
_atom_site_fract_x
_atom_site_fract_y
_atom_site_fract_z
_atom_site_occupancy
Li1 Li 0.2500 0.2500 0.2500 1
Sc1 Sc 0.0170 0.0170 0.9332 1
Sc2 Sc 0.4830 0.4830 0.5668 1
Fe1 Fe 0.7500 0.7500 0.7500 1
```

Properties
Calculated density ... 3.1 g/cm3
Formation enthalpy at 0 K ... 0.60 eV per formula unit
SG ... C2/m
M_tot ... 0.00 μB/f.u.